The following is a PBE with a Hubbard U calculation of crystalline YBiW2O at its relaxed geometry, from Alexandria via LeMat-Bulk.

Unit cell a=5.8675 b=5.8051 c=5.8675 alpha=90.00 beta=90.00 gamma=90.00
Element x y z (fractional)
Bi1 0.0000 0.5000 0.0000
W1 0.0000 0.0000 0.5000
W2 0.5000 0.0000 0.0000
O1 0.5000 0.5000 0.5000
Y1 0.0000 0.0000 0.0000

Computed properties:
The value obtained for the raw total energy is -18.135 eV for the cell shown. Its total magnetization is 5.56 μB/cell.